Compound: SnGeIr
Source: Alexandria
Functional: GGA-PBE
Structure: optimized geometry

Geometry as CIF:
```
data_SnGeIr
_cell_length_a 3.071
_cell_length_b 3.071
_cell_length_c 12.345
_cell_angle_alpha 90.00
_cell_angle_beta 90.00
_cell_angle_gamma 90.00
_space_group_name_H-M_alt 'I 4 m m'
_space_group_IT_number 107
_space_group_name_Hall 'I 4 -2'
loop_
_atom_site_label
_atom_site_type_symbol
_atom_site_fract_x
_atom_site_fract_y
_atom_site_fract_z
Sn1 Sn 0.000 0.000 0.000
Ge1 Ge 0.000 0.000 0.280
Ir1 Ir 0.000 0.000 0.660
```

polymorph energy (0 for the lowest one) = 212 meV/atom
N(E_F) = 3.36 states/eV/cell
magnetic moment = 0.00 μB/f.u.
E_tot = -5.833 eV per atom
ΔH_f (0 K) = -6 meV per atom

---

Compound: LaMg12Hg6
Source: Alexandria
Functional: GGA-PBE
Structure: optimized geometry

Geometry as CIF:
```
data_LaMg12Hg6
_cell_length_a 12.7195
_cell_length_b 12.7195
_cell_length_c 9.8223
_cell_angle_alpha 90.00
_cell_angle_beta 90.00
_cell_angle_gamma 120.00
_space_group_name_H-M_alt 'R -3 m'
_space_group_IT_number 166
_space_group_name_Hall '-R 3 2"'
loop_
_atom_site_label
_atom_site_type_symbol
_atom_site_fract_x
_atom_site_fract_y
_atom_site_fract_z
La1 La 0.0000 0.0000 0.0000
Mg1 Mg 0.0000 0.3842 0.5000
Mg2 Mg 0.0853 0.1706 0.3336
Hg1 Hg 0.0291 0.5146 0.2563
```

N(E_F) = 20.65 states/eV/cell
magnetic moment = 0.00 μB/f.u.
E_tot = -1.504 eV per atom
ΔH_f (0 K) = -142 meV per atom

---

Compound: LaPr6HoEr2
Source: Alexandria
Functional: GGA-PBE
Structure: optimized geometry

Geometry as CIF:
```
data_LaPr6HoEr2
_cell_length_a 9.356
_cell_length_b 15.397
_cell_length_c 9.826
_cell_angle_alpha 90.00
_cell_angle_beta 98.29
_cell_angle_gamma 90.00
_space_group_name_H-M_alt 'C 1 2/c 1'
_space_group_IT_number 15
loop_
_space_group_symop_operation_xyz
'x,y,z'
'-x,-y,-z'
'-x,y,-z+1/2'
'x,-y,z+1/2'
'x+1/2,y+1/2,z'
'-x+1/2,-y+1/2,-z'
'-x+1/2,y+1/2,-z+1/2'
'x+1/2,-y+1/2,z+1/2'
loop_
_atom_site_label
_atom_site_type_symbol
_atom_site_fract_x
_atom_site_fract_y
_atom_site_fract_z
La1 La 0.000 0.094 0.250
Pr1 Pr 0.065 0.327 0.445
Pr2 Pr 0.097 0.107 0.620
Pr3 Pr 0.209 0.275 0.817
Ho1 Ho 0.000 0.469 0.750
Er1 Er 0.241 0.453 0.047
```

N(E_F) = 59.98 states/eV/cell
magnetic moment = 0.00 μB/f.u.
E_tot = -4.620 eV per atom
ΔH_f (0 K) = 111 meV per atom

---

Compound: Zr3In4
Source: Alexandria
Functional: GGA-PBE
Structure: optimized geometry

Geometry as CIF:
```
data_Zr3In4
_cell_length_a 5.8643
_cell_length_b 5.8643
_cell_length_c 5.6113
_cell_angle_alpha 90.00
_cell_angle_beta 90.00
_cell_angle_gamma 120.00
_space_group_name_H-M_alt 'P 6/m m m'
_space_group_IT_number 191
_space_group_name_Hall '-P 6 2'
loop_
_atom_site_label
_atom_site_type_symbol
_atom_site_fract_x
_atom_site_fract_y
_atom_site_fract_z
Zr1 Zr 0.0000 0.5000 0.0000
In1 In 0.0000 0.0000 0.2506
In2 In 0.3333 0.6667 0.5000
```

N(E_F) = 5.42 states/eV/cell
magnetic moment = 0.00 μB/f.u.
E_tot = -5.305 eV per atom
ΔH_f (0 K) = -77 meV per atom

---

Compound: CsK2ScCl6
Source: Alexandria
Functional: GGA-PBE
Structure: optimized geometry

Geometry as CIF:
```
data_CsK2ScCl6
_cell_length_a 11.454
_cell_length_b 11.454
_cell_length_c 11.454
_cell_angle_alpha 90.00
_cell_angle_beta 90.00
_cell_angle_gamma 90.00
_space_group_name_H-M_alt 'F m -3 m'
_space_group_IT_number 225
_space_group_name_Hall '-F 4 2 3'
loop_
_atom_site_label
_atom_site_type_symbol
_atom_site_fract_x
_atom_site_fract_y
_atom_site_fract_z
Cs1 Cs 0.000 0.000 0.000
K1 K 0.250 0.250 0.250
Sc1 Sc 0.000 0.000 0.500
Cl1 Cl 0.000 0.000 0.282
```

polymorph energy (0 for the lowest one) = 92 meV/atom
N(E_F) = 0.00 states/eV/cell
magnetic moment = 0.00 μB/f.u.
E_tot = -4.003 eV per atom
formation energy from raw total energies = -1.958 eV per atom

---

Compound: Pr3ThIr3
Source: Alexandria
Functional: GGA-PBE
Structure: optimized geometry

Geometry as CIF:
```
data_Pr3ThIr3
_cell_length_a 8.6516
_cell_length_b 8.6516
_cell_length_c 17.8029
_cell_angle_alpha 90.00
_cell_angle_beta 90.00
_cell_angle_gamma 120.00
_space_group_name_H-M_alt 'R -3'
_space_group_IT_number 148
_space_group_name_Hall '-R 3'
loop_
_atom_site_label
_atom_site_type_symbol
_atom_site_fract_x
_atom_site_fract_y
_atom_site_fract_z
Pr1 Pr 0.0169 0.2829 0.1027
Th1 Th 0.0000 0.0000 0.3262
Ir1 Ir 0.0078 0.3855 0.9368
```

N(E_F) = 26.95 states/eV/cell
magnetic moment = 0.00 μB/f.u.
E_tot = -7.561 eV per atom
ΔH_f (0 K) = -655 meV per atom

---

Compound: LuAgSn2
Source: Alexandria
Functional: GGA-PBE
Structure: optimized geometry

Geometry as CIF:
```
data_LuAgSn2
_cell_length_a 7.288
_cell_length_b 7.288
_cell_length_c 7.288
_cell_angle_alpha 90.00
_cell_angle_beta 90.00
_cell_angle_gamma 90.00
_space_group_name_H-M_alt 'F m -3 m'
_space_group_IT_number 225
_space_group_name_Hall '-F 4 2 3'
loop_
_atom_site_label
_atom_site_type_symbol
_atom_site_fract_x
_atom_site_fract_y
_atom_site_fract_z
Lu1 Lu 0.000 0.000 0.000
Ag1 Ag 0.000 0.000 0.500
Sn1 Sn 0.250 0.250 0.250
```

polymorph energy (0 for the lowest one) = 215 meV/atom
N(E_F) = 12.49 states/eV/cell
magnetic moment = 0.00 μB/f.u.
E_tot = -3.998 eV per atom
ΔH_f (0 K) = -154 meV per atom

---

Compound: Sm4Cd2C
Source: Alexandria
Functional: GGA-PBE
Structure: optimized geometry

Geometry as CIF:
```
data_Sm4Cd2C
_cell_length_a 6.695
_cell_length_b 3.627
_cell_length_c 8.151
_cell_angle_alpha 90.00
_cell_angle_beta 104.12
_cell_angle_gamma 90.00
_space_group_name_H-M_alt 'P 1 2/m 1'
_space_group_IT_number 10
loop_
_space_group_symop_operation_xyz
'x,y,z'
'-x,-y,-z'
'-x,y,-z'
'x,-y,z'
loop_
_atom_site_label
_atom_site_type_symbol
_atom_site_fract_x
_atom_site_fract_y
_atom_site_fract_z
Sm1 Sm 0.143 0.000 0.323
Sm2 Sm 0.239 0.500 0.972
Cd1 Cd 0.414 0.500 0.651
C1 C 0.000 0.000 0.000
```

polymorph energy (0 for the lowest one) = 51 meV/atom
N(E_F) = 7.79 states/eV/cell
magnetic moment = 0.95 μB/f.u.
E_tot = -4.382 eV per atom
ΔH_f (0 K) = -106 meV per atom

---

Compound: K3BaGe
Source: Alexandria
Functional: GGA-PBE
Structure: optimized geometry

Geometry as CIF:
```
data_K3BaGe
_cell_length_a 7.998
_cell_length_b 7.998
_cell_length_c 7.998
_cell_angle_alpha 90.00
_cell_angle_beta 90.00
_cell_angle_gamma 90.00
_space_group_name_H-M_alt 'P m -3 m'
_space_group_IT_number 221
_space_group_name_Hall '-P 4 2 3'
loop_
_atom_site_label
_atom_site_type_symbol
_atom_site_fract_x
_atom_site_fract_y
_atom_site_fract_z
K1 K 0.000 0.000 0.500
Ba1 Ba 0.000 0.000 0.000
Ge1 Ge 0.500 0.500 0.500
```

polymorph energy (0 for the lowest one) = 719 meV/atom
N(E_F) = 0.22 states/eV/cell
magnetic moment = 1.00 μB/f.u.
E_tot = -0.982 eV per atom
ΔH_f (0 K) = 984 meV per atom

---

Compound: SrSbOs3
Source: Alexandria
Functional: GGA-PBE
Structure: optimized geometry

Geometry as CIF:
```
data_SrSbOs3
_cell_length_a 4.871
_cell_length_b 4.871
_cell_length_c 4.871
_cell_angle_alpha 90.00
_cell_angle_beta 90.00
_cell_angle_gamma 90.00
_space_group_name_H-M_alt 'P m -3 m'
_space_group_IT_number 221
_space_group_name_Hall '-P 4 2 3'
loop_
_atom_site_label
_atom_site_type_symbol
_atom_site_fract_x
_atom_site_fract_y
_atom_site_fract_z
Sr1 Sr 0.000 0.000 0.000
Sb1 Sb 0.500 0.500 0.500
Os1 Os 0.000 0.000 0.500
```

polymorph energy (0 for the lowest one) = 1689 meV/atom
N(E_F) = 7.88 states/eV/cell
magnetic moment = 0.00 μB/f.u.
E_tot = -4.525 eV per atom
formation energy from raw total energies = 3.373 eV per atom

---

Compound: SrZrBe
Source: Alexandria
Functional: GGA-PBE
Structure: optimized geometry

Geometry as CIF:
```
data_SrZrBe
_cell_length_a 3.380
_cell_length_b 3.379
_cell_length_c 12.911
_cell_angle_alpha 90.00
_cell_angle_beta 90.01
_cell_angle_gamma 90.00
_space_group_name_H-M_alt 'P 1 m 1'
_space_group_IT_number 6
loop_
_space_group_symop_operation_xyz
'x,y,z'
'x,-y,z'
loop_
_atom_site_label
_atom_site_type_symbol
_atom_site_fract_x
_atom_site_fract_y
_atom_site_fract_z
Sr1 Sr 0.000 0.000 0.000
Sr2 Sr 0.497 0.500 0.719
Zr1 Zr 0.001 0.000 0.262
Zr2 Zr 0.998 0.000 0.494
Be1 Be 0.500 0.500 0.169
Be2 Be 0.500 0.500 0.376
```

polymorph energy (0 for the lowest one) = 0 meV/atom
N(E_F) = 1.69 states/eV/cell
magnetic moment = 0.00 μB/f.u.
E_tot = -4.423 eV per atom
ΔH_f (0 K) = 229 meV per atom

---

Compound: MgMo2Cl
Source: Alexandria
Functional: GGA-PBE
Structure: optimized geometry

Geometry as CIF:
```
data_MgMo2Cl
_cell_length_a 2.9095
_cell_length_b 2.9095
_cell_length_c 26.9858
_cell_angle_alpha 90.00
_cell_angle_beta 90.00
_cell_angle_gamma 120.00
_space_group_name_H-M_alt 'R -3 m'
_space_group_IT_number 166
_space_group_name_Hall '-R 3 2"'
loop_
_atom_site_label
_atom_site_type_symbol
_atom_site_fract_x
_atom_site_fract_y
_atom_site_fract_z
Mg1 Mg 0.0000 0.0000 0.0000
Mo1 Mo 0.0000 0.0000 0.2426
Cl1 Cl 0.0000 0.0000 0.5000
```

polymorph energy (0 for the lowest one) = 522 meV/atom
N(E_F) = 10.14 states/eV/cell
magnetic moment = 0.00 μB/f.u.
E_tot = -5.791 eV per atom
formation energy from raw total energies = 0.485 eV per atom

---

Q: Which of these has the lowest N(E_F)?
A: CsK2ScCl6

---

Q: Look up the N(E_F) of the first one.
A: 3.36 states/eV/cell